# 1
# PBE-GGA Li2LaAg, relaxed
data_Li2LaAg
_chemical_formula_sum 'Li2 La1 Ag1'
_cell_length_a 5.210
_cell_length_b 5.210
_cell_length_c 3.318
_cell_angle_alpha 90.00
_cell_angle_beta 90.00
_cell_angle_gamma 90.00
_space_group_name_H-M_alt 'P 4/m m m'
_space_group_IT_number 123
_space_group_name_Hall '-P 4 2'
loop_
_atom_site_label
_atom_site_type_symbol
_atom_site_fract_x
_atom_site_fract_y
_atom_site_fract_z
Li1 Li 0.000 0.500 0.000
La1 La 0.000 0.000 0.500
Ag1 Ag 0.500 0.500 0.500
# V, Å³/cell: 90.06
# Formation enthalpy at 0 K, eV per atom: 0.173
# Excess energy over the best structure of this formula in the dataset, eV/atom: 0.2802
# DFT total energy, eV/atom: -2.729
# N(E_F), states/eV/cell: 3.35

=====

# 2
# PBE-GGA Li3LaAg9, relaxed
data_Li3LaAg9
_chemical_formula_sum 'Li6 La2 Ag18'
_cell_length_a 5.299
_cell_length_b 13.551
_cell_length_c 7.177
_cell_angle_alpha 90.00
_cell_angle_beta 110.47
_cell_angle_gamma 90.00
_space_group_name_H-M_alt 'C 1 2/m 1'
_space_group_IT_number 12
_space_group_name_Hall '-C 2y'
loop_
_atom_site_label
_atom_site_type_symbol
_atom_site_fract_x
_atom_site_fract_y
_atom_site_fract_z
Li1 Li 0.000 0.000 0.000
Li2 Li 0.250 0.250 0.500
La1 La 0.000 0.500 0.500
Ag1 Ag 0.000 0.500 0.000
Ag2 Ag 0.099 0.112 0.715
Ag3 Ag 0.169 0.322 0.847
# V, Å³/cell: 482.78
# Formation enthalpy at 0 K, eV per atom: -0.165
# DFT total energy, eV/atom: -2.960
# N(E_F), states/eV/cell: 10.27

=====

# 3
# PBE-GGA Li2LaAg, relaxed
data_Li2LaAg
_chemical_formula_sum 'Li2 La1 Ag1'
_cell_length_a 3.518
_cell_length_b 5.143
_cell_length_c 5.437
_cell_angle_alpha 90.00
_cell_angle_beta 90.00
_cell_angle_gamma 90.00
_space_group_name_H-M_alt 'P m m m'
_space_group_IT_number 47
_space_group_name_Hall '-P 2 2'
loop_
_atom_site_label
_atom_site_type_symbol
_atom_site_fract_x
_atom_site_fract_y
_atom_site_fract_z
Li1 Li 0.000 0.000 0.000
Li2 Li 0.500 0.500 0.000
La1 La 0.000 0.500 0.500
Ag1 Ag 0.500 0.000 0.500
# V, Å³/cell: 98.36
# Formation enthalpy at 0 K, eV per atom: 0.012
# Excess energy over the best structure of this formula in the dataset, eV/atom: 0.1191
# DFT total energy, eV/atom: -2.890
# N(E_F), states/eV/cell: 2.62

=====

# 4
# PBE-GGA Li2LaAg, relaxed
data_Li2LaAg
_chemical_formula_sum 'Li2 La1 Ag1'
_cell_length_a 4.317
_cell_length_b 4.317
_cell_length_c 5.393
_cell_angle_alpha 90.00
_cell_angle_beta 90.00
_cell_angle_gamma 90.00
_space_group_name_H-M_alt 'P 4/m m m'
_space_group_IT_number 123
_space_group_name_Hall '-P 4 2'
loop_
_atom_site_label
_atom_site_type_symbol
_atom_site_fract_x
_atom_site_fract_y
_atom_site_fract_z
Li1 Li 0.000 0.500 0.000
La1 La 0.000 0.000 0.500
Ag1 Ag 0.500 0.500 0.500
# V, Å³/cell: 100.48
# Formation enthalpy at 0 K, eV per atom: 0.022
# Excess energy over the best structure of this formula in the dataset, eV/atom: 0.1295
# DFT total energy, eV/atom: -2.880
# N(E_F), states/eV/cell: 2.76

=====

# 5
# PBE-GGA LiLaAg, relaxed
data_LiLaAg
_chemical_formula_sum 'Li1 La1 Ag1'
_cell_length_a 3.3534
_cell_length_b 3.3534
_cell_length_c 7.6049
_cell_angle_alpha 90.00
_cell_angle_beta 90.00
_cell_angle_gamma 120.00
_space_group_name_H-M_alt 'P 3 m 1'
_space_group_IT_number 156
_space_group_name_Hall 'P 3 -2"'
loop_
_atom_site_label
_atom_site_type_symbol
_atom_site_fract_x
_atom_site_fract_y
_atom_site_fract_z
Li1 Li 0.0000 0.0000 0.0000
La1 La 0.3333 0.6667 0.6076
Ag1 Ag 0.6667 0.3333 0.2588
# V, Å³/cell: 74.06
# Formation enthalpy at 0 K, eV per atom: 0.044
# Excess energy over the best structure of this formula in the dataset, eV/atom: 0.2198
# DFT total energy, eV/atom: -3.187
# N(E_F), states/eV/cell: 2.48

=====

# 6
# PBE-GGA LiLaAg, relaxed
data_LiLaAg
_chemical_formula_sum 'Li2 La2 Ag2'
_cell_length_a 4.187
_cell_length_b 4.187
_cell_length_c 8.527
_cell_angle_alpha 90.00
_cell_angle_beta 90.00
_cell_angle_gamma 90.00
_space_group_name_H-M_alt 'P 4/n m m'
_space_group_IT_number 129
loop_
_space_group_symop_operation_xyz
'x,y,z'
'-x,-y,-z'
'-y+1/2,x,z'
'y+1/2,-x,-z'
'-x+1/2,-y+1/2,z'
'x+1/2,y+1/2,-z'
'y,-x+1/2,z'
'-y,x+1/2,-z'
'x+1/2,-y,-z'
'-x+1/2,y,z'
'-y,-x,-z'
'y,x,z'
'-x,y+1/2,-z'
'x,-y+1/2,z'
'y+1/2,x+1/2,-z'
'-y+1/2,-x+1/2,z'
loop_
_atom_site_label
_atom_site_type_symbol
_atom_site_fract_x
_atom_site_fract_y
_atom_site_fract_z
Li1 Li 0.250 0.750 0.000
La1 La 0.250 0.250 0.362
Ag1 Ag 0.250 0.250 0.781
# V, Å³/cell: 149.50
# Formation enthalpy at 0 K, eV per atom: -0.173
# Excess energy over the best structure of this formula in the dataset, eV/atom: 0.0024
# DFT total energy, eV/atom: -3.404
# N(E_F), states/eV/cell: 6.64

=====

# 7
# PBE-GGA LiLaAg3, relaxed
data_LiLaAg3
_chemical_formula_sum 'Li1 La1 Ag3'
_cell_length_a 5.745
_cell_length_b 5.745
_cell_length_c 5.745
_cell_angle_alpha 90.00
_cell_angle_beta 90.00
_cell_angle_gamma 90.00
_space_group_name_H-M_alt 'P m -3 m'
_space_group_IT_number 221
_space_group_name_Hall '-P 4 2 3'
loop_
_atom_site_label
_atom_site_type_symbol
_atom_site_fract_x
_atom_site_fract_y
_atom_site_fract_z
Li1 Li 0.000 0.000 0.000
La1 La 0.500 0.500 0.500
Ag1 Ag 0.000 0.500 0.500
# V, Å³/cell: 189.58
# Formation enthalpy at 0 K, eV per atom: 0.690
# Excess energy over the best structure of this formula in the dataset, eV/atom: 0.8958
# DFT total energy, eV/atom: -2.389
# N(E_F), states/eV/cell: 2.37

=====

# 8
# PBE-GGA LiLa4Ag3, relaxed
data_LiLa4Ag3
_chemical_formula_sum 'Li1 La4 Ag3'
_cell_length_a 3.869
_cell_length_b 5.383
_cell_length_c 10.832
_cell_angle_alpha 90.00
_cell_angle_beta 90.00
_cell_angle_gamma 90.00
_space_group_name_H-M_alt 'P m m m'
_space_group_IT_number 47
_space_group_name_Hall '-P 2 2'
loop_
_atom_site_label
_atom_site_type_symbol
_atom_site_fract_x
_atom_site_fract_y
_atom_site_fract_z
Li1 Li 0.000 0.000 0.000
La1 La 0.500 0.000 0.258
La2 La 0.500 0.500 0.000
La3 La 0.500 0.500 0.500
Ag1 Ag 0.000 0.000 0.500
Ag2 Ag 0.000 0.500 0.240
# V, Å³/cell: 225.60
# Formation enthalpy at 0 K, eV per atom: -0.171
# DFT total energy, eV/atom: -3.943
# N(E_F), states/eV/cell: 8.03

=====

# 9
# PBE-GGA LiLa2Ag4, relaxed
data_LiLa2Ag4
_chemical_formula_sum 'Li2 La4 Ag8'
_cell_length_a 5.571
_cell_length_b 14.720
_cell_length_c 4.667
_cell_angle_alpha 90.00
_cell_angle_beta 90.00
_cell_angle_gamma 90.00
_space_group_name_H-M_alt 'C m m m'
_space_group_IT_number 65
_space_group_name_Hall '-C 2 2'
loop_
_atom_site_label
_atom_site_type_symbol
_atom_site_fract_x
_atom_site_fract_y
_atom_site_fract_z
Li1 Li 0.000 0.000 0.000
La1 La 0.000 0.338 0.500
Ag1 Ag 0.000 0.091 0.500
Ag2 Ag 0.000 0.199 0.000
# V, Å³/cell: 382.71
# Formation enthalpy at 0 K, eV per atom: -0.076
# DFT total energy, eV/atom: -3.386
# N(E_F), states/eV/cell: 9.82

=====

# 10
# PBE-GGA LiLa4Ag5, relaxed
data_LiLa4Ag5
_chemical_formula_sum 'Li1 La4 Ag5'
_cell_length_a 3.694
_cell_length_b 3.694
_cell_length_c 18.933
_cell_angle_alpha 90.00
_cell_angle_beta 90.00
_cell_angle_gamma 90.00
_space_group_name_H-M_alt 'P 4/m m m'
_space_group_IT_number 123
_space_group_name_Hall '-P 4 2'
loop_
_atom_site_label
_atom_site_type_symbol
_atom_site_fract_x
_atom_site_fract_y
_atom_site_fract_z
Li1 Li 0.000 0.000 0.000
La1 La 0.000 0.000 0.182
La2 La 0.000 0.000 0.394
Ag1 Ag 0.500 0.500 0.074
Ag2 Ag 0.500 0.500 0.288
Ag3 Ag 0.500 0.500 0.500
# V, Å³/cell: 258.30
# Formation enthalpy at 0 K, eV per atom: -0.222
# DFT total energy, eV/atom: -3.810
# N(E_F), states/eV/cell: 9.31

=====

# 11
# PBE-GGA LiLa5Ag4, relaxed
data_LiLa5Ag4
_chemical_formula_sum 'Li1 La5 Ag4'
_cell_length_a 3.836
_cell_length_b 3.836
_cell_length_c 19.209
_cell_angle_alpha 90.00
_cell_angle_beta 90.00
_cell_angle_gamma 90.00
_space_group_name_H-M_alt 'P 4/m m m'
_space_group_IT_number 123
_space_group_name_Hall '-P 4 2'
loop_
_atom_site_label
_atom_site_type_symbol
_atom_site_fract_x
_atom_site_fract_y
_atom_site_fract_z
Li1 Li 0.000 0.000 0.000
La1 La 0.500 0.500 0.106
La2 La 0.500 0.500 0.301
La3 La 0.500 0.500 0.500
Ag1 Ag 0.000 0.000 0.200
Ag2 Ag 0.000 0.000 0.401
# V, Å³/cell: 282.66
# Formation enthalpy at 0 K, eV per atom: -0.183
# DFT total energy, eV/atom: -3.979
# N(E_F), states/eV/cell: 10.92

=====

# 12
# PBE-GGA LiLa6Ag5, relaxed
data_LiLa6Ag5
_chemical_formula_sum 'Li2 La12 Ag10'
_cell_length_a 5.416
_cell_length_b 7.641
_cell_length_c 16.296
_cell_angle_alpha 90.00
_cell_angle_beta 90.00
_cell_angle_gamma 90.00
_space_group_name_H-M_alt 'I m m m'
_space_group_IT_number 71
_space_group_name_Hall '-I 2 2'
loop_
_atom_site_label
_atom_site_type_symbol
_atom_site_fract_x
_atom_site_fract_y
_atom_site_fract_z
Li1 Li 0.000 0.000 0.000
La1 La 0.000 0.241 0.500
La2 La 0.000 0.254 0.171
Ag1 Ag 0.000 0.000 0.334
Ag2 Ag 0.000 0.500 0.000
Ag3 Ag 0.000 0.500 0.345
# V, Å³/cell: 674.36
# Formation enthalpy at 0 K, eV per atom: -0.202
# DFT total energy, eV/atom: -4.013
# N(E_F), states/eV/cell: 23.77